Pa2Co3P GGA-PBE relaxed; space group = Fmmm; M_tot = 0.00 μB/f.u.; energy of formation = -618 meV/atom; VASP energy = -8.24 eV per atom
1.0
-5.346 0.281 -1.533
0.050 -3.180 -4.571
1.337 -3.768 6.667
Pa P Co
4 2 6
Direct
0.250 0.750 0.500 Pa
0.750 0.250 0.500 Pa
0.243 0.757 0.000 Pa
0.757 0.243 0.000 Pa
0.322 0.322 0.644 P
0.678 0.678 0.356 P
0.177 0.177 0.811 Co
0.634 0.634 0.811 Co
0.852 0.852 0.705 Co
0.366 0.366 0.189 Co
0.823 0.823 0.189 Co
0.148 0.148 0.295 Co